The following is a PBE-GGA calculation of TcPt2W after structural relaxation, from Alexandria. Values from VASP.

Quantum ESPRESSO input file:
```
&SYSTEM
  ibrav = 0, nat = 8, ntyp = 3
/
ATOMIC_SPECIES
W 183.84 W.upf
Pt 195.08 Pt.upf
Tc 98.00 Tc.upf
ATOMIC_POSITIONS crystal
W 0.000 0.000 0.000
W 0.750 0.250 0.500
Pt 0.636 0.125 0.250
Pt 0.114 0.625 0.250
Pt 0.875 0.886 0.750
Pt 0.375 0.364 0.750
Tc 0.500 0.500 0.000
Tc 0.250 0.750 0.500
CELL_PARAMETERS angstrom
7.159 0.000 0.000
0.000 7.159 0.000
3.580 3.580 2.659
```

Symmetry = I-42d (122)
Energy = -67.01 eV for the cell shown
Energy above the lowest structure with this stoichiometry = 698 meV per atom
Theoretical density = 16.4 g/cm3


The following is a PBE-GGA calculation of BeZnRu2 after structural relaxation, from Alexandria. Values from VASP.

Quantum ESPRESSO input file:
```
&SYSTEM
  ibrav = 0, nat = 4, ntyp = 3
/
ATOMIC_SPECIES
Be 9.01 Be.upf
Ru 101.07 Ru.upf
Zn 65.41 Zn.upf
ATOMIC_POSITIONS crystal
Be 0.000 0.500 0.500
Ru 0.500 0.500 0.000
Ru 0.000 0.000 0.000
Zn 0.500 0.000 0.500
CELL_PARAMETERS angstrom
2.905 0.000 0.000
0.000 4.405 0.000
0.000 0.000 4.072
```

Symmetry = Pmmm (47)
Energy = -22.96 eV for the cell shown
Theoretical density = 8.8 g/cm3


The following is a PBE-GGA calculation of ReWCl2 after structural relaxation, from Alexandria. Values from VASP.

Quantum ESPRESSO input file:
```
&SYSTEM
  ibrav = 0, nat = 4, ntyp = 3
/
ATOMIC_SPECIES
W 183.84 W.upf
Cl 35.45 Cl.upf
Re 186.21 Re.upf
ATOMIC_POSITIONS crystal
W 0.750 0.250 0.500
Cl 0.000 0.000 0.000
Cl 0.250 0.750 0.500
Re 0.500 0.500 0.000
CELL_PARAMETERS angstrom
-4.384 0.835 -1.272
-1.785 -4.022 1.474
2.526 2.851 2.652
```

Symmetry = I-4m2 (119)
Energy = -24.21 eV for the cell shown
Energy above the lowest structure with this stoichiometry = 1402 meV per atom
Theoretical density = 11.1 g/cm3
Energy relative to the elements, uncorrected = 1220 meV/atom


The following is a PBE-GGA calculation of Y4Tm9Cd11 after structural relaxation, from Alexandria. Values from VASP.

Quantum ESPRESSO input file:
```
&SYSTEM
  ibrav = 0, nat = 24, ntyp = 3
/
ATOMIC_SPECIES
Tm 168.93 Tm.upf
Cd 112.41 Cd.upf
Y 88.91 Y.upf
ATOMIC_POSITIONS crystal
Tm 0.500 0.844 0.384
Tm 0.500 0.384 0.844
Tm 0.500 0.500 0.500
Tm 0.500 0.015 0.205
Tm 0.500 0.795 0.985
Tm 0.500 0.156 0.616
Tm 0.500 0.205 0.015
Tm 0.500 0.616 0.156
Tm 0.500 0.985 0.795
Cd 0.000 0.411 0.048
Cd 0.000 0.629 0.371
Cd 0.000 0.817 0.183
Cd 0.000 0.000 0.000
Cd 0.000 0.206 0.206
Cd 0.000 0.183 0.817
Cd 0.000 0.589 0.952
Cd 0.000 0.371 0.629
Cd 0.000 0.952 0.589
Cd 0.000 0.794 0.794
Cd 0.000 0.048 0.411
Y 0.500 0.751 0.586
Y 0.500 0.414 0.249
Y 0.500 0.586 0.751
Y 0.500 0.249 0.414
CELL_PARAMETERS angstrom
3.461 0.000 0.000
0.000 12.890 -4.976
0.000 0.490 13.808
```

Symmetry = Cmmm (65)
Energy = -81.69 eV for the cell shown
Theoretical density = 8.3 g/cm3